Here is a relaxed structure of K2TlRe from Alexandria. Energies are from PBE.

a b c (Å): 2.960 2.960 12.066
angles (deg): 90.00 90.00 101.57
Positions (direct):
1 Re 0.500 0.500 0.250
2 K 0.000 0.000 0.479
3 Tl 0.500 0.500 0.750
4 K 0.000 0.000 0.021

Calculated values
total energy: -3.186 eV per atom
SG: Cmmm
distance to the lowest polymorph of the same formula: 141 meV per atom
Fermi-level density of states: 3.508 states/eV/f.u.
magnetization: 0.0 μB/cell
energy of formation from the pure elements: 1067 meV/atom